Entry 1:
# NdGdNiRh (GGA-PBE, relaxed)
# VASP energy ... -8.494 eV per atom
# ΔE_f ... -0.50 eV/atom
# Mass density ... 9.08 g/cm3
# Total magnetization ... 28.460 μB/cell
data_NdGdNiRh
_cell_length_a 6.971
_cell_length_b 6.971
_cell_length_c 6.971
_cell_angle_alpha 90.00
_cell_angle_beta 90.00
_cell_angle_gamma 90.00
_symmetry_space_group_name_H-M 'F -4 3 m'
_symmetry_Int_Tables_number 216
_symmetry_space_group_name_Hall 'F -4 2 3'
loop_
_atom_site_label
_atom_site_type_symbol
_atom_site_fract_x
_atom_site_fract_y
_atom_site_fract_z
Nd1 Nd 0.000 0.000 0.000
Gd1 Gd 0.000 0.000 0.500
Ni1 Ni 0.250 0.250 0.750
Rh1 Rh 0.250 0.250 0.250

---

Entry 2:
# Li3TiHg (GGA-PBE, relaxed)
# VASP energy ... -1.880 eV per atom
# ΔE_f ... 0.91 eV/atom
# Relative energy among the computed polymorphs ... 0.3406 eV per atom
# Mass density ... 3.38 g/cm3
# Total magnetization ... 3.328 μB/cell
data_Li3TiHg
_cell_length_a 5.095
_cell_length_b 5.095
_cell_length_c 5.095
_cell_angle_alpha 90.00
_cell_angle_beta 90.00
_cell_angle_gamma 90.00
_symmetry_space_group_name_H-M 'P m -3 m'
_symmetry_Int_Tables_number 221
_symmetry_space_group_name_Hall '-P 4 2 3'
loop_
_atom_site_label
_atom_site_type_symbol
_atom_site_fract_x
_atom_site_fract_y
_atom_site_fract_z
Li1 Li 0.000 0.000 0.500
Ti1 Ti 0.000 0.000 0.000
Hg1 Hg 0.500 0.500 0.500

---

Entry 3:
# MnPd9Au2 (GGA-PBE, relaxed)
# VASP energy ... -5.318 eV per atom
# ΔE_f ... -0.11 eV/atom
# Mass density ... 12.40 g/cm3
# Total magnetization ... 5.298 μB/cell
data_MnPd9Au2
_cell_length_a 3.973
_cell_length_b 3.973
_cell_length_c 11.934
_cell_angle_alpha 90.00
_cell_angle_beta 90.00
_cell_angle_gamma 90.00
_symmetry_space_group_name_H-M 'P 4/m m m'
_symmetry_Int_Tables_number 123
_symmetry_space_group_name_Hall '-P 4 2'
loop_
_atom_site_label
_atom_site_type_symbol
_atom_site_fract_x
_atom_site_fract_y
_atom_site_fract_z
Mn1 Mn 0.000 0.000 0.000
Pd1 Pd 0.000 0.500 0.160
Pd2 Pd 0.000 0.500 0.500
Pd3 Pd 0.500 0.500 0.000
Pd4 Pd 0.500 0.500 0.329
Au1 Au 0.000 0.000 0.331

---

Entry 4:
# SrYAu2F (GGA-PBE, relaxed)
# VASP energy ... -2.951 eV per atom
# Raw formation energy ... 1.818 eV/f.u.
# Mass density ... 4.38 g/cm3
# Total magnetization ... 0.000 μB/cell
data_SrYAu2F
_cell_length_a 5.562
_cell_length_b 5.562
_cell_length_c 7.217
_cell_angle_alpha 90.00
_cell_angle_beta 90.00
_cell_angle_gamma 90.00
_symmetry_space_group_name_H-M 'P 4/m m m'
_symmetry_Int_Tables_number 123
_symmetry_space_group_name_Hall '-P 4 2'
loop_
_atom_site_label
_atom_site_type_symbol
_atom_site_fract_x
_atom_site_fract_y
_atom_site_fract_z
Sr1 Sr 0.000 0.000 0.000
Y1 Y 0.000 0.000 0.500
Au1 Au 0.000 0.500 0.000
F1 F 0.500 0.500 0.500

---

Calculated volume? In order: 21.17, 26.46, 15.70, 44.65 A^3/atom.